Record 1
Pr2NdTmTe5: optimized geometry, PBE.

Cell and atoms, written as CIF:
```
data_Pr2NdTmTe5
_chemical_formula_sum 'Pr2 Nd1 Tm1 Te5'
_space_group_name_H-M_alt 'P 4/m m m'
_space_group_IT_number 123
_space_group_name_Hall '-P 4 2'
_cell_length_a 5.483
_cell_length_b 5.483
_cell_length_c 11.771
_cell_angle_alpha 90.00
_cell_angle_beta 90.00
_cell_angle_gamma 90.00
loop_
_atom_site_label
_atom_site_type_symbol
_atom_site_fract_x
_atom_site_fract_y
_atom_site_fract_z
Pr1 Pr 0.000 0.000 0.164
Nd1 Nd 0.500 0.500 0.500
Tm1 Tm 0.500 0.500 0.000
Te1 Te 0.000 0.000 0.500
Te2 Te 0.000 0.500 0.000
Te3 Te 0.500 0.500 0.249
```

Values from the calculation:
As for the uncorrected formation energy: -0.88 eV/atom. The value obtained for the mass density is 5.785 g cm⁻³.


Record 2
Sm2ZrAl4Au3: optimized geometry, PBE.

Cell and atoms, written as CIF:
```
data_Sm2ZrAl4Au3
_chemical_formula_sum 'Sm2 Zr1 Al4 Au3'
_space_group_name_H-M_alt 'P -4 m 2'
_space_group_IT_number 115
_space_group_name_Hall 'P -4 -2'
_cell_length_a 4.302
_cell_length_b 4.302
_cell_length_c 11.399
_cell_angle_alpha 90.00
_cell_angle_beta 90.00
_cell_angle_gamma 90.00
loop_
_atom_site_label
_atom_site_type_symbol
_atom_site_fract_x
_atom_site_fract_y
_atom_site_fract_z
Sm1 Sm 0.000 0.500 0.244
Zr1 Zr 0.000 0.000 0.500
Al1 Al 0.000 0.000 0.000
Al2 Al 0.000 0.500 0.653
Al3 Al 0.500 0.500 0.000
Au1 Au 0.000 0.500 0.873
Au2 Au 0.500 0.500 0.500
```

Values from the calculation:
For the calculated formation energy, the calculation gives -14.22 kcal/mol of atoms. The value obtained for the mass density is 8.585 g cm⁻³.


Record 3
LiTi2O: optimized geometry, PBE.

Cell and atoms, written as CIF:
```
data_LiTi2O
_chemical_formula_sum 'Li4 Ti8 O4'
_space_group_name_H-M_alt 'I -4 2 d'
_space_group_IT_number 122
_space_group_name_Hall 'I -4 2bw'
_cell_length_a 6.146
_cell_length_b 6.146
_cell_length_c 6.902
_cell_angle_alpha 90.00
_cell_angle_beta 90.00
_cell_angle_gamma 90.00
loop_
_atom_site_label
_atom_site_type_symbol
_atom_site_fract_x
_atom_site_fract_y
_atom_site_fract_z
Li1 Li 0.000 0.000 0.000
Ti1 Ti 0.132 0.250 0.625
O1 O 0.000 0.000 0.500
```

Values from the calculation:
As for the uncorrected formation energy: -0.80 eV/atom. The value obtained for the mass density is 3.024 g cm⁻³.


Record 4
Ca2RhPb: optimized geometry, PBE.

Cell and atoms, written as CIF:
```
data_Ca2RhPb
_chemical_formula_sum 'Ca4 Rh2 Pb2'
_space_group_name_H-M_alt 'I m m m'
_space_group_IT_number 71
_space_group_name_Hall '-I 2 2'
_cell_length_a 4.262
_cell_length_b 5.151
_cell_length_c 8.938
_cell_angle_alpha 90.00
_cell_angle_beta 90.00
_cell_angle_gamma 90.00
loop_
_atom_site_label
_atom_site_type_symbol
_atom_site_fract_x
_atom_site_fract_y
_atom_site_fract_z
Ca1 Ca 0.000 0.000 0.219
Rh1 Rh 0.000 0.500 0.500
Pb1 Pb 0.000 0.500 0.000
```

Values from the calculation:
For the calculated formation energy, the calculation gives -7.61 kcal/mol of atoms. The value obtained for the mass density is 6.605 g cm⁻³.


Record 5
LiAgS2O8: optimized geometry, PBE.

Cell and atoms, written as CIF:
```
data_LiAgS2O8
_chemical_formula_sum 'Li3 Ag3 S6 O24'
_space_group_name_H-M_alt 'R 3 2'
_space_group_IT_number 155
_space_group_name_Hall 'R 3 2"'
_cell_length_a 4.8643
_cell_length_b 4.8643
_cell_length_c 22.0100
_cell_angle_alpha 90.00
_cell_angle_beta 90.00
_cell_angle_gamma 120.00
loop_
_atom_site_label
_atom_site_type_symbol
_atom_site_fract_x
_atom_site_fract_y
_atom_site_fract_z
Li1 Li 0.0000 0.0000 0.0000
Ag1 Ag 0.0000 0.0000 0.5000
S1 S 0.0000 0.0000 0.2517
O1 O 0.0000 0.0000 0.1833
O2 O 0.0064 0.2937 0.7280
```

Values from the calculation:
As for the uncorrected formation energy: -1.03 eV/atom. The value obtained for the mass density is 3.390 g cm⁻³.


Record 6
LiIrS3: optimized geometry, PBE.

Cell and atoms, written as CIF:
```
data_LiIrS3
_chemical_formula_sum 'Li1 Ir1 S3'
_space_group_name_H-M_alt 'P m -3 m'
_space_group_IT_number 221
_space_group_name_Hall '-P 4 2 3'
_cell_length_a 4.701
_cell_length_b 4.701
_cell_length_c 4.701
_cell_angle_alpha 90.00
_cell_angle_beta 90.00
_cell_angle_gamma 90.00
loop_
_atom_site_label
_atom_site_type_symbol
_atom_site_fract_x
_atom_site_fract_y
_atom_site_fract_z
Li1 Li 0.000 0.000 0.000
Ir1 Ir 0.500 0.500 0.500
S1 S 0.000 0.500 0.500
```

Values from the calculation:
As for the uncorrected formation energy: 0.20 eV/atom. The value obtained for the mass density is 4.720 g cm⁻³.


Record 7
OsPdSN: optimized geometry, PBE.

Cell and atoms, written as CIF:
```
data_OsPdSN
_chemical_formula_sum 'Os1 Pd1 S1 N1'
_space_group_name_H-M_alt 'P 1 m 1'
_space_group_IT_number 6
_space_group_name_Hall 'P -2y'
_cell_length_a 3.458
_cell_length_b 3.670
_cell_length_c 4.999
_cell_angle_alpha 90.00
_cell_angle_beta 97.76
_cell_angle_gamma 90.00
loop_
_atom_site_label
_atom_site_type_symbol
_atom_site_fract_x
_atom_site_fract_y
_atom_site_fract_z
Os1 Os 0.000 0.000 0.000
Pd1 Pd 0.406 0.000 0.555
S1 S 0.948 0.500 0.717
N1 N 0.529 0.000 0.158
```

Values from the calculation:
As for the uncorrected formation energy: 0.29 eV/atom. The value obtained for the mass density is 9.053 g cm⁻³.


Record 8
EuYInAg: optimized geometry, PBE.

Cell and atoms, written as CIF:
```
data_EuYInAg
_chemical_formula_sum 'Eu4 Y4 In4 Ag4'
_space_group_name_H-M_alt 'F -4 3 m'
_space_group_IT_number 216
_space_group_name_Hall 'F -4 2 3'
_cell_length_a 7.589
_cell_length_b 7.589
_cell_length_c 7.589
_cell_angle_alpha 90.00
_cell_angle_beta 90.00
_cell_angle_gamma 90.00
loop_
_atom_site_label
_atom_site_type_symbol
_atom_site_fract_x
_atom_site_fract_y
_atom_site_fract_z
Eu1 Eu 0.000 0.000 0.000
Y1 Y 0.000 0.000 0.500
In1 In 0.250 0.250 0.250
Ag1 Ag 0.250 0.250 0.750
```

Values from the calculation:
For the calculated formation energy, the calculation gives -8.38 kcal/mol of atoms. The value obtained for the mass density is 7.044 g cm⁻³.


Record 9
InSiAu2: optimized geometry, PBE.

Cell and atoms, written as CIF:
```
data_InSiAu2
_chemical_formula_sum 'In1 Si1 Au2'
_space_group_name_H-M_alt 'P 1 m 1'
_space_group_IT_number 6
_space_group_name_Hall 'P -2y'
_cell_length_a 3.470
_cell_length_b 4.797
_cell_length_c 4.951
_cell_angle_alpha 90.00
_cell_angle_beta 90.10
_cell_angle_gamma 90.00
loop_
_atom_site_label
_atom_site_type_symbol
_atom_site_fract_x
_atom_site_fract_y
_atom_site_fract_z
In1 In 0.000 0.000 0.000
Si1 Si 0.501 0.500 0.674
Au1 Au 0.494 0.500 0.166
Au2 Au 0.504 0.000 0.509
```

Values from the calculation:
As for the uncorrected formation energy: 0.02 eV/atom. The value obtained for the mass density is 10.816 g cm⁻³.


Record 10
CaPm5Sn3: optimized geometry, PBE.

Cell and atoms, written as CIF:
```
data_CaPm5Sn3
_chemical_formula_sum 'Ca2 Pm10 Sn6'
_space_group_name_H-M_alt 'P 63/m c m'
_space_group_IT_number 193
_space_group_name_Hall '-P 6c 2'
_cell_length_a 9.5720
_cell_length_b 9.5720
_cell_length_c 6.7456
_cell_angle_alpha 90.00
_cell_angle_beta 90.00
_cell_angle_gamma 120.00
loop_
_atom_site_label
_atom_site_type_symbol
_atom_site_fract_x
_atom_site_fract_y
_atom_site_fract_z
Ca1 Ca 0.0000 0.0000 0.0000
Pm1 Pm 0.0000 0.3312 0.2500
Pm2 Pm 0.3333 0.6667 0.0000
Sn1 Sn 0.0000 0.3369 0.7500
```

Values from the calculation:
For the calculated formation energy, the calculation gives -13.57 kcal/mol of atoms. The value obtained for the mass density is 6.957 g cm⁻³.


Record 11
TaFe2Hg: optimized geometry, PBE.

Cell and atoms, written as CIF:
```
data_TaFe2Hg
_chemical_formula_sum 'Ta4 Fe8 Hg4'
_space_group_name_H-M_alt 'I -4 2 d'
_space_group_IT_number 122
_space_group_name_Hall 'I -4 2bw'
_cell_length_a 6.993
_cell_length_b 6.993
_cell_length_c 5.525
_cell_angle_alpha 90.00
_cell_angle_beta 90.00
_cell_angle_gamma 90.00
loop_
_atom_site_label
_atom_site_type_symbol
_atom_site_fract_x
_atom_site_fract_y
_atom_site_fract_z
Ta1 Ta 0.000 0.000 0.000
Fe1 Fe 0.228 0.250 0.125
Hg1 Hg 0.000 0.000 0.500
```

Values from the calculation:
For the calculated formation energy, the calculation gives 17.58 kcal/mol of atoms. The value obtained for the mass density is 12.125 g cm⁻³.


Record 12
SmY4Er4: optimized geometry, PBE.

Cell and atoms, written as CIF:
```
data_SmY4Er4
_chemical_formula_sum 'Sm2 Y8 Er8'
_space_group_name_H-M_alt 'I 4/m m m'
_space_group_IT_number 139
_space_group_name_Hall '-I 4 2'
_cell_length_a 10.653
_cell_length_b 10.653
_cell_length_c 5.014
_cell_angle_alpha 90.00
_cell_angle_beta 90.00
_cell_angle_gamma 90.00
loop_
_atom_site_label
_atom_site_type_symbol
_atom_site_fract_x
_atom_site_fract_y
_atom_site_fract_z
Sm1 Sm 0.000 0.000 0.000
Y1 Y 0.167 0.167 0.500
Er1 Er 0.000 0.335 0.000
```

Values from the calculation:
For the calculated formation energy, the calculation gives 0.57 kcal/mol of atoms. The value obtained for the mass density is 6.857 g cm⁻³.


Number 1: energy -0.347 Ry/atom. Number 2: energy -0.360 Ry/atom. Number 3: energy -0.475 Ry/atom. Number 4: energy -0.301 Ry/atom. Number 5: energy -0.399 Ry/atom. Number 6: energy -0.326 Ry/atom. Number 7: energy -0.509 Ry/atom. Number 8: energy -0.437 Ry/atom. Number 9: energy -0.269 Ry/atom. Number 10: energy -0.352 Ry/atom. Number 11: energy -0.478 Ry/atom. Number 12: energy -0.397 Ry/atom.